VASP calculation (GGA-PBE) on BeGaIr2 after structural relaxation.

It has space group P6_3/mmc (No. 194), with a = 3.9096 Å, b = 3.9096 Å, c = 8.4774 Å, α = 90.00°, β = 90.00° and γ = 120.00°. Symmetry generates all atoms from Be at (0.0000, 0.0000, 0.0000), Ga at (0.3333, 0.6667, 0.2500) and Ir at (0.3333, 0.6667, 0.5948).

The energy above the most stable polymorph in this dataset comes out at 0.326 eV/atom. Its volume is 112 Å³/cell.